No. 1
# SmTl2Rh (GGA-PBE, relaxed)
data_SmTl2Rh
_space_group_name_H-M_alt 'I 4/m m m'
_space_group_IT_number 139
_space_group_name_Hall '-I 4 2'
_cell_length_a 4.670
_cell_length_b 4.670
_cell_length_c 17.440
_cell_angle_alpha 90.00
_cell_angle_beta 90.00
_cell_angle_gamma 90.00
loop_
_atom_site_label
_atom_site_fract_x
_atom_site_fract_y
_atom_site_fract_z
_atom_site_occupancy
Sm1 0.000 0.000 0.143 1
Tl1 0.000 0.000 0.350 1
Tl2 0.000 0.500 0.000 1
Rh1 0.000 0.500 0.250 1
# Total energy ... -4.570 eV/atom
# Calculated formation energy ... -0.369 eV/atom

No. 2
# TlBi2O (GGA-PBE, relaxed)
data_TlBi2O
_space_group_name_H-M_alt 'F m -3 m'
_space_group_IT_number 225
_space_group_name_Hall '-F 4 2 3'
_cell_length_a 7.227
_cell_length_b 7.227
_cell_length_c 7.227
_cell_angle_alpha 90.00
_cell_angle_beta 90.00
_cell_angle_gamma 90.00
loop_
_atom_site_label
_atom_site_fract_x
_atom_site_fract_y
_atom_site_fract_z
_atom_site_occupancy
Tl1 0.000 0.000 0.000 1
Bi1 0.250 0.250 0.250 1
O1 0.000 0.000 0.500 1
# Formation energy without anion corrections ... 0.240 eV per atom
# Total energy ... -3.531 eV/atom
# Offset from the most stable computed form ... 445 meV per atom

No. 3
# ErPu2Hf (GGA-PBE, relaxed)
data_ErPu2Hf
_space_group_name_H-M_alt 'P 4/m m m'
_space_group_IT_number 123
_space_group_name_Hall '-P 4 2'
_cell_length_a 3.274
_cell_length_b 3.274
_cell_length_c 9.629
_cell_angle_alpha 90.00
_cell_angle_beta 90.00
_cell_angle_gamma 90.00
loop_
_atom_site_label
_atom_site_fract_x
_atom_site_fract_y
_atom_site_fract_z
_atom_site_occupancy
Er1 0.000 0.000 0.000 1
Pu1 0.500 0.500 0.267 1
Hf1 0.000 0.000 0.500 1
# Total energy ... -10.634 eV/atom
# Offset from the most stable computed form ... 0 meV per atom
# Calculated formation energy ... 0.161 eV/atom